A plane-wave DFT calculation with PBE was carried out for an optimized crystal structure of RbCoTc3.

```
RbCoTc3
1.0
4.575 0.000 0.000
0.000 4.575 0.000
0.000 0.000 4.575
Rb Co Tc
1 1 3
Direct
0.000 0.000 0.000
0.500 0.500 0.500
0.000 0.000 0.500
0.000 0.500 0.000
0.500 0.000 0.000
```

Computed properties:
- Energy above the lowest structure with this stoichiometry: 1803 meV/atom
- DOS at the Fermi energy: 1.488 states/eV per atom
- M_tot: 0.000 μB/atom
- ΔH_f (0 K): 1730 kJ/mol of formula units

A plane-wave DFT calculation with PBE was carried out for an optimized crystal structure of RbCoTc3.

```
RbCoTc3
1.0
4.646 0.000 0.000
0.000 4.646 0.000
0.000 0.000 4.646
Rb Co Tc
1 1 3
Direct
0.000 0.000 0.000
0.500 0.500 0.500
0.000 0.500 0.500
0.500 0.000 0.500
0.500 0.500 0.000
```

Computed properties:
- Energy above the lowest structure with this stoichiometry: 0 meV/atom
- DOS at the Fermi energy: 1.441 states/eV per atom
- M_tot: 0.772 μB/atom
- ΔH_f (0 K): 860 kJ/mol of formula units

A plane-wave DFT calculation with PBE was carried out for an optimized crystal structure of Rb2CoTc.

```
Rb2CoTc
1.0
8.293 0.000 0.000
0.000 8.293 0.000
0.000 0.000 8.293
Rb Co Tc
8 4 4
Direct
0.250 0.250 0.250
0.250 0.250 0.750
0.250 0.750 0.250
0.250 0.750 0.750
0.750 0.250 0.250
0.750 0.250 0.750
0.750 0.750 0.250
0.750 0.750 0.750
0.000 0.000 0.000
0.000 0.500 0.500
0.500 0.000 0.500
0.500 0.500 0.000
0.000 0.000 0.500
0.000 0.500 0.000
0.500 0.000 0.000
0.500 0.500 0.500
```

Computed properties:
- Energy above the lowest structure with this stoichiometry: 707 meV/atom
- DOS at the Fermi energy: 2.624 states/eV per atom
- M_tot: 1.491 μB/atom
- ΔH_f (0 K): 756 kJ/mol of formula units

A plane-wave DFT calculation with PBE was carried out for an optimized crystal structure of Rb3CoTc.

```
Rb3CoTc
1.0
6.599 0.000 0.000
0.000 6.599 0.000
0.000 0.000 6.599
Rb Co Tc
3 1 1
Direct
0.000 0.000 0.500
0.000 0.500 0.000
0.500 0.000 0.000
0.500 0.500 0.500
0.000 0.000 0.000
```

Computed properties:
- DOS at the Fermi energy: 2.235 states/eV per atom
- M_tot: 1.000 μB/atom
- ΔH_f (0 K): 838 kJ/mol of formula units

A plane-wave DFT calculation with PBE was carried out for an optimized crystal structure of Rb2CoTc.

```
Rb2CoTc
1.0
12.978 0.000 0.000
0.000 12.978 0.000
0.000 0.000 4.428
Rb Co Tc
8 4 4
Direct
0.063 0.750 0.125
0.250 0.063 0.875
0.250 0.437 0.375
0.437 0.750 0.625
0.563 0.250 0.625
0.750 0.563 0.375
0.750 0.937 0.875
0.937 0.250 0.125
0.000 0.000 0.000
0.000 0.500 0.250
0.500 0.000 0.750
0.500 0.500 0.500
0.000 0.000 0.500
0.000 0.500 0.750
0.500 0.000 0.250
0.500 0.500 0.000
```

Computed properties:
- Energy above the lowest structure with this stoichiometry: 0 meV/atom
- DOS at the Fermi energy: 1.068 states/eV per atom
- M_tot: 0.973 μB/atom
- ΔH_f (0 K): 483 kJ/mol of formula units

A plane-wave DFT calculation with PBE was carried out for an optimized crystal structure of RbYCoTc2.

```
RbYCoTc2
1.0
4.629 0.000 0.000
0.000 4.629 0.000
0.000 0.000 5.139
Rb Y Co Tc
1 1 1 2
Direct
0.000 0.000 0.000
0.000 0.000 0.500
0.500 0.500 0.500
0.000 0.500 0.000
0.500 0.000 0.000
```

Computed properties:
- DOS at the Fermi energy: 1.891 states/eV per atom
- M_tot: 0.000 μB/atom
- ΔH_f (0 K): 1382 kJ/mol of formula units

A plane-wave DFT calculation with PBE was carried out for an optimized crystal structure of RbCoTe.

```
RbCoTe
1.0
4.234 0.000 0.000
0.000 4.234 0.000
0.000 0.000 11.313
Rb Co Te
2 2 2
Direct
0.250 0.250 0.202
0.750 0.750 0.798
0.250 0.750 0.500
0.750 0.250 0.500
0.250 0.250 0.623
0.750 0.750 0.377
```

Computed properties:
- Energy above the lowest structure with this stoichiometry: 0 meV/atom
- E_form (uncorrected): -0.75 eV per formula unit
- DOS at the Fermi energy: 0.747 states/eV per atom
- M_tot: 0.401 μB/atom

A plane-wave DFT calculation with PBE was carried out for an optimized crystal structure of RbCo3Te.

```
RbCo3Te
1.0
4.878 0.000 0.000
0.000 4.878 0.000
0.000 0.000 4.878
Rb Co Te
1 3 1
Direct
0.000 0.000 0.000
0.000 0.500 0.500
0.500 0.000 0.500
0.500 0.500 0.000
0.500 0.500 0.500
```

Computed properties:
- Energy above the lowest structure with this stoichiometry: 0 meV/atom
- E_form (uncorrected): 4.76 eV per formula unit
- DOS at the Fermi energy: 1.718 states/eV per atom
- M_tot: 0.800 μB/atom